# 1
VASP calculation (GGA-PBE) on Nd4CoRuBr2 after structural relaxation.

**Formation energy from raw total energies**: -0.74 eV/atom
**Crystal system**: monoclinic

a b c (Å): 6.975 4.034 8.222
angles (deg): 90.00 106.49 90.00
Space group P2/m (No. 10)
Unique sites:
Nd1 0.228 0.000 0.194 [2 per cell]
Nd2 0.264 0.500 0.802 [2 per cell]
Co1 0.000 0.500 0.000 [1 per cell]
Ru1 0.500 0.000 0.000 [1 per cell]
Br1 0.000 0.000 0.500 [1 per cell]
Br2 0.500 0.500 0.500 [1 per cell]

---

# 2
VASP calculation (GGA-PBE) on Tb2Pr2NdHo2 after structural relaxation.

**Formation enthalpy at 0 K**: 239 meV per atom
**Crystal system**: monoclinic

a b c (Å): 16.536 3.558 11.819
angles (deg): 90.00 133.34 90.00
Space group C2/m (No. 12)
Unique sites:
Tb1 0.190 0.000 0.196 [4 per cell]
Pr1 0.135 0.000 0.848 [4 per cell]
Nd1 0.000 0.500 0.500 [2 per cell]
Ho1 0.144 0.000 0.440 [4 per cell]

---

# 3
VASP calculation (GGA-PBE) on Tb5Nd2Th3 after structural relaxation.

**Formation enthalpy at 0 K**: 48 meV per atom
**Crystal system**: triclinic

a b c (Å): 5.054 6.231 11.367
angles (deg): 89.93 89.98 66.07
Space group P-1 (No. 2)
Unique sites:
Tb1 0.000 0.000 0.000 [1 per cell]
Tb2 0.201 0.599 0.403 [2 per cell]
Tb3 0.300 0.398 0.103 [2 per cell]
Nd1 0.403 0.196 0.797 [2 per cell]
Th1 0.099 0.803 0.697 [2 per cell]
Th2 0.500 0.000 0.500 [1 per cell]

---

# 4
VASP calculation (GGA-PBE) on Nb2CoTeRu after structural relaxation.

**Formation energy from raw total energies**: 1.61 eV/atom
**Crystal system**: tetragonal

a b c (Å): 5.018 5.018 4.378
angles (deg): 90.00 90.00 90.00
Space group P4/mmm (No. 123)
Unique sites:
Nb1 0.000 0.500 0.000 [2 per cell]
Co1 0.000 0.000 0.500 [1 per cell]
Te1 0.000 0.000 0.000 [1 per cell]
Ru1 0.500 0.500 0.500 [1 per cell]

---

# 5
VASP calculation (GGA-PBE) on Mg2AuBr after structural relaxation.

**E above lowest polymorph**: 294 meV/atom
**Formation energy from raw total energies**: -0.38 eV/atom
**Crystal system**: tetragonal

a b c (Å): 3.929 3.929 11.955
angles (deg): 90.00 90.00 90.00
Space group I-4m2 (No. 119)
Unique sites:
Mg1 0.000 0.000 0.000 [2 per cell]
Mg2 0.000 0.500 0.250 [2 per cell]
Au1 0.000 0.500 0.750 [2 per cell]
Br1 0.000 0.000 0.500 [2 per cell]

---

# 6
VASP calculation (GGA-PBE) on Ac4Tl3Pd5 after structural relaxation.

**Formation enthalpy at 0 K**: -542 meV per atom
**Crystal system**: monoclinic

a b c (Å): 14.301 4.995 11.437
angles (deg): 90.00 123.38 90.00
Space group C2/m (No. 12)
Unique sites:
Ac1 0.036 0.000 0.334 [4 per cell]
Ac2 0.234 0.500 0.259 [4 per cell]
Tl1 0.000 0.000 0.000 [2 per cell]
Tl2 0.167 0.500 0.916 [4 per cell]
Pd1 0.000 0.500 0.000 [2 per cell]
Pd2 0.087 0.500 0.634 [4 per cell]
Pd3 0.207 0.500 0.513 [4 per cell]

---

# 7
VASP calculation (GGA-PBE) on Y3TaSi after structural relaxation.

**E above lowest polymorph**: 0 meV/atom
**Formation energy from raw total energies**: 0.57 eV/atom
**Crystal system**: cubic

a b c (Å): 5.333 5.333 5.333
angles (deg): 90.00 90.00 90.00
Space group Pm-3m (No. 221)
Unique sites:
Y1 0.000 0.000 0.500 [3 per cell]
Ta1 0.500 0.500 0.500 [1 per cell]
Si1 0.000 0.000 0.000 [1 per cell]

---

# 8
VASP calculation (GGA-PBE) on Ac4SbIrI2 after structural relaxation.

**Formation energy from raw total energies**: -1.05 eV/atom
**Crystal system**: monoclinic

a b c (Å): 8.452 4.468 8.755
angles (deg): 90.00 106.13 90.00
Space group P2/m (No. 10)
Unique sites:
Ac1 0.199 0.000 0.186 [2 per cell]
Ac2 0.236 0.500 0.800 [2 per cell]
Sb1 0.500 0.000 0.000 [1 per cell]
Ir1 0.000 0.500 0.000 [1 per cell]
I1 0.000 0.000 0.500 [1 per cell]
I2 0.500 0.500 0.500 [1 per cell]

---

# 9
VASP calculation (GGA-PBE) on NpGa3Pt2 after structural relaxation.

**Formation enthalpy at 0 K**: -533 meV per atom
**Crystal system**: monoclinic

a b c (Å): 16.624 4.199 10.062
angles (deg): 90.00 107.87 90.00
Space group C2/m (No. 12)
Unique sites:
Np1 0.000 0.000 0.000 [2 per cell]
Np2 0.160 0.000 0.708 [4 per cell]
Ga1 0.000 0.500 0.500 [2 per cell]
Ga2 0.039 0.000 0.362 [4 per cell]
Ga3 0.130 0.500 0.194 [4 per cell]
Ga4 0.168 0.500 0.954 [4 per cell]
Ga5 0.213 0.000 0.385 [4 per cell]
Pt1 0.020 0.500 0.787 [4 per cell]
Pt2 0.140 0.500 0.454 [4 per cell]
Pt3 0.198 0.000 0.120 [4 per cell]